Entry A
Compound: La3Er3Tm2
Source: the Alexandria database
Functional: PBE-GGA
Structure: optimized geometry

abc: 5.0004 5.1293 10.8675
angles: 103.65 103.30 90.00
Element x y z (fractional)
La: 0.5000 0.0000 0.0000
La: 0.6252 0.6252 0.2504
Er: 0.1285 0.1285 0.2570
La: 0.3748 0.3748 0.7496
Er: 0.8715 0.8715 0.7430
Er: 0.0000 0.5000 0.0000
Tm: 0.2514 0.7514 0.5028
Tm: 0.7486 0.2486 0.4972

***

Entry B
Compound: La3Er3Tm2
Source: the Alexandria database
Functional: PBE-GGA
Structure: optimized geometry

abc: 5.7081 5.9940 8.8711
angles: 110.54 108.74 90.14
Element x y z (fractional)
La: 0.0000 0.0000 0.0000
Er: 0.6348 0.1868 0.2701
La: 0.8636 0.4260 0.7275
Er: 0.5000 0.5000 0.0000
Er: 0.3652 0.8132 0.7299
Tm: 0.2506 0.1835 0.5025
Tm: 0.7494 0.8165 0.4975
La: 0.1364 0.5740 0.2725

***

Ordering by calculated energy gives the sequence entry A, entry B, with the first entry being the most stable.

***

Entry A
Compound: LaEr5Tm3
Source: the Alexandria database
Functional: PBE-GGA
Structure: optimized geometry

abc: 9.9911 9.9911 11.0852
angles: 68.03 68.03 34.89
Element x y z (fractional)
Tm: 0.0552 0.5899 0.3634
Er: 0.9129 0.4268 0.9703
Er: 0.0928 0.5791 0.6943
La: 0.8541 0.1459 0.7500
Er: 0.5732 0.0871 0.5297
Er: 0.6317 0.3683 0.2500
Er: 0.4268 0.9129 0.4703
Tm: 0.0000 0.0000 0.0000
Er: 0.3683 0.6317 0.7500
Tm: 0.5899 0.0552 0.8634
Tm: 0.0000 0.0000 0.5000
Er: 0.9072 0.4209 0.3057
Er: 0.5791 0.0928 0.1943
Er: 0.4209 0.9072 0.8057
Tm: 0.9448 0.4101 0.6366
La: 0.1459 0.8541 0.2500
Tm: 0.4101 0.9448 0.1366
Er: 0.0871 0.5732 0.0297

***

Entry B
Compound: LaEr5Tm3
Source: the Alexandria database
Functional: PBE-GGA
Structure: optimized geometry

abc: 9.3337 9.3337 12.8664
angles: 50.49 50.49 50.20
Element x y z (fractional)
Tm: 0.0000 0.0000 0.5000
Er: 0.9230 0.5080 0.2201
Tm: 0.1756 0.1756 0.6620
La: 0.9013 0.9013 0.8614
La: 0.0987 0.0987 0.1386
Er: 0.5539 0.5539 0.5683
Tm: 0.3025 0.3025 0.3196
Er: 0.3227 0.6773 0.0000
Er: 0.3703 0.3703 0.9291
Tm: 0.0000 0.0000 0.0000
Er: 0.6297 0.6297 0.0709
Tm: 0.6975 0.6975 0.6804
Er: 0.6773 0.3227 0.0000
Er: 0.4461 0.4461 0.4317
Er: 0.5080 0.9230 0.2201
Er: 0.4920 0.0770 0.7799
Tm: 0.8244 0.8244 0.3380
Er: 0.0770 0.4920 0.7799

***

Ordering by calculated energy gives the sequence entry A, entry B, with the first entry being the most stable.

***

Entry A
Compound: La3ErTm
Source: the Alexandria database
Functional: PBE-GGA
Structure: optimized geometry

abc: 3.5936 11.1044 17.6617
angles: 90.00 90.00 90.00
Element x y z (fractional)
Tm: 0.2587 0.7500 0.1031
La: 0.7439 0.0000 0.7500
La: 0.7542 0.4426 0.0750
La: 0.7542 0.9426 0.4250
La: 0.2458 0.5574 0.9250
Er: 0.7582 0.2500 0.2268
Er: 0.2418 0.2500 0.7268
La: 0.2561 0.0000 0.2500
Tm: 0.2587 0.2500 0.3969
Er: 0.2418 0.7500 0.7732
Tm: 0.7413 0.7500 0.6031
La: 0.2458 0.4426 0.5750
La: 0.2458 0.9426 0.9250
La: 0.7542 0.0574 0.0750
La: 0.2561 0.5000 0.2500
La: 0.7439 0.5000 0.7500
Tm: 0.7413 0.2500 0.8969
Er: 0.7582 0.7500 0.2732
La: 0.2458 0.0574 0.5750
La: 0.7542 0.5574 0.4250

***

Entry B
Compound: La3ErTm
Source: the Alexandria database
Functional: PBE-GGA
Structure: optimized geometry

abc: 5.8773 6.0934 10.0886
angles: 90.00 73.13 90.00
Element x y z (fractional)
La: 0.9606 0.7156 0.7985
Tm: 0.1602 0.7041 0.4002
Tm: 0.8655 0.2041 0.9853
La: 0.5678 0.5950 0.5856
La: 0.4581 0.0950 0.8000
La: 0.7640 0.6572 0.1915
La: 0.0650 0.2156 0.5871
La: 0.2616 0.1570 0.1936
Er: 0.6579 0.1063 0.4011
Er: 0.3677 0.6062 0.9843

***

Ordering by calculated energy gives the sequence entry B, entry A, with the first entry being the most stable.

***

Entry A
Compound: La2Er2Tm5
Source: the Alexandria database
Functional: PBE-GGA
Structure: optimized geometry

abc: 3.4742 11.9206 8.5651
angles: 57.04 90.00 98.38
Element x y z (fractional)
Tm: 0.0000 0.0000 0.0000
Er: 0.8216 0.6432 0.3286
Er: 0.1784 0.3568 0.6714
Tm: 0.9424 0.8849 0.4465
Tm: 0.0576 0.1151 0.5535
Tm: 0.7801 0.5602 0.7912
Tm: 0.2199 0.4398 0.2088
La: 0.3979 0.7958 0.8713
La: 0.6021 0.2042 0.1287

***

Entry B
Compound: La2Er2Tm5
Source: the Alexandria database
Functional: PBE-GGA
Structure: optimized geometry

abc: 11.7827 6.7062 10.0561
angles: 109.48 125.86 90.00
Element x y z (fractional)
Tm: 0.8089 0.2565 0.1062
Tm: 0.9958 0.1626 0.5000
Er: 0.5000 0.5165 0.0000
La: 0.8726 0.4346 0.7446
Tm: 0.7974 0.7565 0.1062
Tm: 0.3767 0.0267 0.2857
La: 0.1274 0.6900 0.2554
Er: 0.7381 0.8577 0.5000
Tm: 0.5909 0.2410 0.7143
Er: 0.0000 0.0165 0.0000
Tm: 0.0042 0.6626 0.5000
Er: 0.2619 0.3577 0.5000
La: 0.6280 0.1900 0.2554
Tm: 0.2026 0.6503 0.8938
La: 0.3720 0.9346 0.7446
Tm: 0.4091 0.5267 0.2857
Tm: 0.6233 0.7410 0.7143
Tm: 0.1911 0.1503 0.8938

***

Ordering by calculated energy gives the sequence entry A, entry B, with the first entry being the most stable.

***

Entry A
Compound: La3ErTm4
Source: the Alexandria database
Functional: PBE-GGA
Structure: optimized geometry

abc: 3.4907 8.9412 8.9411
angles: 82.13 78.76 78.76
Element x y z (fractional)
La: 0.0000 0.5000 0.5000
Er: 0.5000 0.0000 0.0000
Tm: 0.3654 0.3786 0.8907
Tm: 0.3654 0.8907 0.3786
La: 0.2448 0.7550 0.7550
Tm: 0.6346 0.1093 0.6214
La: 0.7552 0.2450 0.2450
Tm: 0.6346 0.6214 0.1093

***

Entry B
Compound: La3ErTm4
Source: the Alexandria database
Functional: PBE-GGA
Structure: optimized geometry

abc: 6.3197 7.3242 11.4549
angles: 90.00 90.00 90.00
Element x y z (fractional)
La: 0.5238 0.1232 0.7531
Tm: 0.0205 0.3778 0.2513
La: 0.5238 0.1232 0.2469
Er: 0.8578 0.1317 0.0000
Tm: 0.5205 0.6222 0.2487
Tm: 0.8534 0.6258 0.5000
La: 0.0238 0.8768 0.7469
La: 0.8591 0.6252 0.0000
Tm: 0.8563 0.1263 0.5000
Tm: 0.3563 0.8737 0.0000
La: 0.3591 0.3748 0.5000
La: 0.0238 0.8768 0.2531
Tm: 0.3534 0.3742 0.0000
Er: 0.3578 0.8683 0.5000
Tm: 0.0205 0.3778 0.7487
Tm: 0.5205 0.6222 0.7513

***

Ordering by calculated energy gives the sequence entry B, entry A, with the first entry being the most stable.

***

Entry A
Compound: La12Er7Tm
Source: the Alexandria database
Functional: PBE-GGA
Structure: optimized geometry

abc: 8.8418 8.8418 8.8418
angles: 89.58 89.58 89.58
Element x y z (fractional)
La: 0.7341 0.2814 0.1458
La: 0.8542 0.2659 0.7186
Er: 0.1402 0.3746 0.0589
Er: 0.6254 0.9411 0.8598
Er: 0.5000 0.5000 0.5000
La: 0.4808 0.6072 0.1444
La: 0.1458 0.7341 0.2814
La: 0.5192 0.3928 0.8556
La: 0.8556 0.5192 0.3928
La: 0.7186 0.8542 0.2659
La: 0.6072 0.1444 0.4808
Er: 0.8598 0.6254 0.9411
La: 0.1444 0.4808 0.6072
La: 0.2814 0.1458 0.7341
Er: 0.9411 0.8598 0.6254
Er: 0.0589 0.1402 0.3746
La: 0.3928 0.8556 0.5192
Er: 0.3746 0.0589 0.1402
La: 0.2659 0.7186 0.8542
Tm: 0.0000 0.0000 0.0000

***

Entry B
Compound: La12Er7Tm
Source: the Alexandria database
Functional: PBE-GGA
Structure: optimized geometry

abc: 6.3447 11.5061 11.5061
angles: 116.70 100.59 100.59
Element x y z (fractional)
La: 0.5738 0.6462 0.9998
Er: 0.1146 0.0001 0.7544
La: 0.4262 0.3538 0.0002
Er: 0.8855 0.2458 0.0001
Er: 0.8854 0.9999 0.2456
La: 0.4260 0.9998 0.3536
La: 0.5002 0.4085 0.5915
La: 0.0913 0.5915 0.1831
La: 0.0724 0.6464 0.6462
La: 0.5740 0.0002 0.6464
La: 0.0917 0.1831 0.5915
La: 0.9083 0.8169 0.4085
La: 0.9087 0.4085 0.8169
La: 0.9276 0.3536 0.3538
Er: 0.6398 0.7544 0.7542
Er: 0.1145 0.7542 0.9999
Er: 0.5000 0.0000 0.0000
Tm: 0.0000 0.0000 0.0000
Er: 0.3602 0.2456 0.2458
La: 0.4998 0.5915 0.4085

***

Ordering by calculated energy gives the sequence entry B, entry A, with the first entry being the most stable.

***

Entry A
Compound: La2Er2Tm7
Source: the Alexandria database
Functional: PBE-GGA
Structure: optimized geometry

abc: 6.0057 8.0306 8.0306
angles: 91.75 73.75 73.75
Element x y z (fractional)
Er: 0.1878 0.5963 0.5963
Tm: 0.0000 0.0000 0.0000
La: 0.5000 0.2106 0.7894
Tm: 0.8295 0.9374 0.4078
Tm: 0.4188 0.2407 0.2407
Er: 0.8122 0.4037 0.4037
Tm: 0.5812 0.7593 0.7593
Tm: 0.1705 0.5922 0.0626
Tm: 0.8295 0.4078 0.9374
La: 0.5000 0.7894 0.2106
Tm: 0.1705 0.0626 0.5922

***

Entry B
Compound: La2Er2Tm7
Source: the Alexandria database
Functional: PBE-GGA
Structure: optimized geometry

abc: 3.5652 10.4938 10.4951
angles: 66.24 99.82 99.82
Element x y z (fractional)
Tm: 0.1690 0.4198 0.9190
Tm: 0.1691 0.9186 0.4204
Tm: 0.8309 0.0814 0.5796
Tm: 0.0000 0.0000 0.0000
Er: 0.6959 0.1965 0.1970
Tm: 0.3728 0.3720 0.3716
La: 0.5001 0.7193 0.2808
Er: 0.3041 0.8035 0.8030
La: 0.4999 0.2807 0.7192
Tm: 0.8310 0.5802 0.0810
Tm: 0.6272 0.6280 0.6284

***

Ordering by calculated energy gives the sequence entry B, entry A, with the first entry being the most stable.

***

Entry A
Compound: La3YEr3
Source: the Alexandria database
Functional: PBE-GGA
Structure: optimized geometry

abc: 8.2915 8.2915 8.2915
angles: 69.44 69.44 69.44
Element x y z (fractional)
La: 0.1265 0.2714 0.8347
Er: 0.5550 0.9748 0.6884
La: 0.1653 0.8735 0.7286
Er: 0.9748 0.6884 0.5550
Er: 0.0252 0.3116 0.4450
La: 0.7286 0.1653 0.8735
La: 0.8735 0.7286 0.1653
Er: 0.4450 0.0252 0.3116
Y: 0.4084 0.4084 0.4084
Er: 0.3116 0.4450 0.0252
Er: 0.6884 0.5550 0.9748
La: 0.8347 0.1265 0.2714
Y: 0.5916 0.5916 0.5916
La: 0.2714 0.8347 0.1265

***

Entry B
Compound: La3YEr3
Source: the Alexandria database
Functional: PBE-GGA
Structure: optimized geometry

abc: 5.7932 9.7448 9.7448
angles: 120.00 90.00 90.00
Element x y z (fractional)
Er: 0.2500 0.2308 0.1863
La: 0.7500 0.9039 0.5279
Y: 0.2500 0.6667 0.3333
Er: 0.7500 0.1863 0.9555
La: 0.2500 0.0961 0.4721
Er: 0.7500 0.0445 0.2308
Y: 0.7500 0.3333 0.6667
La: 0.7500 0.6240 0.0961
Er: 0.7500 0.7692 0.8137
La: 0.2500 0.5279 0.6240
Er: 0.2500 0.8137 0.0445
La: 0.2500 0.3760 0.9039
Er: 0.2500 0.9555 0.7692
La: 0.7500 0.4721 0.3760

***

Ordering by calculated energy gives the sequence entry B, entry A, with the first entry being the most stable.

***

Entry A
Compound: La2Y5Er12
Source: the Alexandria database
Functional: PBE-GGA
Structure: optimized geometry

abc: 9.1718 12.3747 8.4903
angles: 132.23 90.00 111.75
Element x y z (fractional)
Y: 0.0000 0.0000 0.5000
Er: 0.5657 0.7481 0.3968
Er: 0.6613 0.6847 0.9328
Er: 0.0956 0.1913 0.3072
Er: 0.1824 0.7481 0.3968
Er: 0.3387 0.3153 0.0672
Er: 0.9766 0.3153 0.0672
Er: 0.5559 0.1119 0.7842
Y: 0.7656 0.5312 0.1094
Y: 0.6976 0.3952 0.3896
Er: 0.0234 0.6847 0.9328
Er: 0.4441 0.8881 0.2158
La: 0.6911 0.0000 0.0000
Er: 0.4343 0.2519 0.6032
Y: 0.3024 0.6048 0.6104
La: 0.3089 0.0000 0.0000
Er: 0.9044 0.8087 0.6928
Er: 0.8176 0.2519 0.6032
Y: 0.2344 0.4688 0.8906

***

Entry B
Compound: La2Y5Er12
Source: the Alexandria database
Functional: PBE-GGA
Structure: optimized geometry

abc: 6.1492 10.6443 12.7992
angles: 133.79 94.63 84.49
Element x y z (fractional)
Y: 0.1599 0.6829 0.1308
Er: 0.5244 0.9482 0.6037
Er: 0.3170 0.3670 0.7633
Er: 0.6327 0.7347 0.0261
Er: 0.6830 0.6330 0.2367
Y: 0.8401 0.3171 0.8692
Er: 0.1046 0.7863 0.9201
La: 0.5806 0.8432 0.8159
Y: 0.7383 0.5279 0.4471
Y: 0.2617 0.4721 0.5529
Er: 0.0533 0.8960 0.7094
Er: 0.3673 0.2653 0.9739
Er: 0.9467 0.1040 0.2906
Er: 0.8954 0.2137 0.0799
Er: 0.4756 0.0518 0.3963
Y: 0.0000 0.0000 0.5000
Er: 0.7910 0.4187 0.6582
Er: 0.2090 0.5813 0.3418
La: 0.4194 0.1568 0.1841

***

Ordering by calculated energy gives the sequence entry B, entry A, with the first entry being the most stable.